Record 1
First-principles (PBE) data for crystalline CePrHg at its relaxed geometry, as listed in Alexandria via LeMat-Bulk.

Cell lengths 3.6232, 5.4793, 8.8772 Å; angles 90.00, 101.78, 90.00 degrees
With the nearest neighbours (Å) after each atom.
Positions (direct):
Pr 0.0724 0.2500 0.1448  6 Hg 3.31-3.46, 2 Ce 3.60, 2 Pr 3.62
Pr 0.9276 0.7500 0.8552  6 Hg 3.31-3.46, 2 Ce 3.60, 2 Pr 3.62
Hg 0.5969 0.7500 0.1937  2 Ce 3.20, 6 Pr 3.31-3.46
Hg 0.4031 0.2500 0.8063  2 Ce 3.20, 6 Pr 3.31-3.46
Ce 0.7511 0.2500 0.5023  2 Hg 3.20, 4 Ce 3.28
Ce 0.2489 0.7500 0.4977  2 Hg 3.20, 4 Ce 3.28

## Properties
- D(E_F): 6.3 states/eV/f.u.
- ΔE_f: -0.241 eV/atom
- ΔE to the lowest computed polymorph: 0.000 eV per atom
- V: 173 Å³/cell
- Calculated total energy: -3.9131 eV per atom
- Space-group type: No. 63

=====

Record 2
First-principles (PBE) data for crystalline Ce3Pr2Hg7 at its relaxed geometry, as listed in Alexandria via LeMat-Bulk.

Cell lengths 5.4821, 5.2855, 12.4927 Å; angles 102.21, 90.00, 90.00 degrees
With the nearest neighbours (Å) after each atom.
Positions (direct):
Hg 0.5000 0.0786 0.1572  2 Pr 3.15, 4 Ce 3.27-3.38, 2 Hg 3.35
Hg 0.0000 0.0000 0.0000  8 Hg 3.18-3.35, 2 Pr 3.48
Hg 0.0000 0.7248 0.4497  2 Hg 2.91, 2 Ce 3.11, 1 Pr 3.24
Hg 0.0000 0.5726 0.1453  2 Pr 3.14, 2 Hg 3.18, 2 Ce 3.27
Hg 0.5000 0.9214 0.8428  2 Pr 3.15, 4 Ce 3.27-3.38, 2 Hg 3.35
Hg 0.0000 0.2752 0.5503  2 Hg 2.91, 2 Ce 3.11, 1 Pr 3.24
Hg 0.0000 0.4274 0.8547  2 Pr 3.14, 2 Hg 3.18, 2 Ce 3.27
Pr 0.0000 0.1424 0.2849  8 Hg 3.14-3.48
Pr 0.0000 0.8576 0.7151  8 Hg 3.14-3.48
Ce 0.5000 0.3354 0.6708  4 Hg 3.11-3.38
Ce 0.5000 0.6646 0.3292  4 Hg 3.11-3.38
Ce 0.5000 0.5000 0.0000  8 Hg 3.27

## Properties
- D(E_F): 29.8 states/eV/f.u.
- ΔE_f: -0.220 eV/atom
- V: 354 Å³/cell
- Calculated total energy: -2.6757 eV per atom
- Space-group type: No. 65

=====

Record 3
First-principles (PBE) data for crystalline CePrHg4 at its relaxed geometry, as listed in Alexandria via LeMat-Bulk.

Cell lengths 3.4667, 6.1793, 8.8041 Å; angles 90.00, 90.00, 124.13 degrees
With the nearest neighbours (Å) after each atom.
Positions (direct):
Hg 0.5012 0.9973 0.1657  3 Hg 2.95
Hg 0.0005 0.4973 0.6643  3 Hg 2.93-2.95
Hg 0.0021 0.4973 0.3320  3 Hg 2.93-2.95
Hg 0.5014 0.9973 0.8306  3 Hg 2.95
Ce 0.0013 0.9973 0.4981  12 Hg 3.40-3.42, 2 Ce 3.47
Pr 0.5013 0.4973 0.9981  12 Hg 3.41-3.42, 2 Pr 3.47

## Properties
- D(E_F): 8.6 states/eV/f.u.
- ΔE_f: -0.517 eV/atom
- ΔE to the lowest computed polymorph: 0.000 eV per atom
- V: 156 Å³/cell
- Calculated total energy: -2.5038 eV per atom
- Space-group type: No. 47

=====

Record 4
First-principles (PBE) data for crystalline CePr4Hg2 at its relaxed geometry, as listed in Alexandria via LeMat-Bulk.

Cell lengths 5.5717, 5.5717, 9.5581 Å; angles 73.05, 73.05, 60.00 degrees
With the nearest neighbours (Å) after each atom.
Positions (direct):
Hg 0.6136 0.6136 0.1592  1 Ce 3.07, 4 Pr 3.17-3.23
Hg 0.3864 0.3864 0.8408  1 Ce 3.07, 4 Pr 3.17-3.23
Pr 0.1331 0.1331 0.6008  3 Ce 3.34, 7 Pr 3.67-3.71
Pr 0.8669 0.8669 0.3992  3 Ce 3.34, 7 Pr 3.67-3.71
Pr 0.7310 0.7310 0.8070  4 Hg 3.17-3.23
Pr 0.2690 0.2690 0.1930  4 Hg 3.17-3.23
Ce 0.5000 0.5000 0.5000  2 Hg 3.07, 6 Pr 3.34

## Properties
- D(E_F): 14.3 states/eV/f.u.
- ΔE_f: 0.004 eV/atom
- V: 242 Å³/cell
- Calculated total energy: -3.6607 eV per atom
- Space-group type: No. 166